# PBE+U TiCrAs2O8, relaxed
data_TiCrAs2O8
_chemical_formula_sum 'Ti2 Cr2 As4 O16'
_cell_length_a 6.640
_cell_length_b 6.640
_cell_length_c 6.191
_cell_angle_alpha 90.00
_cell_angle_beta 90.00
_cell_angle_gamma 90.00
_symmetry_space_group_name_H-M 'I -4 m 2'
_symmetry_Int_Tables_number 119
_symmetry_space_group_name_Hall 'I -4 -2'
loop_
_atom_site_label
_atom_site_type_symbol
_atom_site_fract_x
_atom_site_fract_y
_atom_site_fract_z
Ti1 Ti 0.000 0.000 0.000
Cr1 Cr 0.000 0.500 0.250
As1 As 0.000 0.000 0.500
As2 As 0.000 0.500 0.750
O1 O 0.000 0.185 0.304
O2 O 0.000 0.301 0.927
# E ... -0.256 hartree per atom